Record 1
## YBeW2 (PBE-GGA)

Data for crystalline YBeW2 at its relaxed geometry.

Properties
V = 68.54 Å³/f.u.
calculated formation energy = 2.77 eV per formula unit
total energy = -8.333 eV/atom

abc: 9.4831 9.4831 9.4831
angles: 17.66 17.66 17.66
Fractional coordinates of all 4 atoms:
W1 0.0087 0.0087 0.0087
W2 0.2576 0.2576 0.2576
Be1 0.7425 0.7425 0.7425
Y1 0.4911 0.4911 0.4911

---

Record 2
## Ac3Ga9Ni2 (PBE-GGA)

Data for crystalline Ac3Ga9Ni2 at its relaxed geometry.

Properties
V = 294.56 Å³/f.u.
calculated formation energy = -6.61 eV per formula unit
total energy = -4.124 eV/atom

abc: 4.4265 8.5247 8.5247
angles: 75.88 74.95 74.95
Fractional coordinates of all 14 atoms:
Ni1 0.5000 0.2728 0.7272
Ni2 0.5000 0.7272 0.2728
Ac1 0.6840 0.3160 0.3160
Ac2 0.0000 0.0000 0.0000
Ac3 0.3160 0.6840 0.6840
Ga1 0.3359 0.3081 0.0202
Ga2 0.1186 0.6031 0.1598
Ga3 0.3359 0.0202 0.3081
Ga4 0.8814 0.3969 0.8402
Ga5 0.8814 0.8402 0.3969
Ga6 0.6641 0.6919 0.9798
Ga7 0.6641 0.9798 0.6919
Ga8 0.0000 0.5000 0.5000
Ga9 0.1186 0.1598 0.6031

---

Record 3
## Pr2SmH8 (PBE-GGA)

Data for crystalline Pr2SmH8 at its relaxed geometry.

Properties
V = 119.62 Å³/f.u.
total energy = -4.314 eV/atom

abc: 3.8515 5.3848 6.6500
angles: 113.88 106.83 90.00
Fractional coordinates of all 11 atoms:
H1 0.1610 0.1610 0.3221
H2 0.3426 0.5851 0.6853
H3 0.0000 0.7389 0.0000
H4 0.0000 0.2611 0.0000
H5 0.6574 0.8998 0.3147
H6 0.3426 0.1002 0.6853
H7 0.8390 0.8390 0.6779
H8 0.6574 0.4149 0.3147
Sm1 0.5000 0.0000 0.0000
Pr1 0.1689 0.6689 0.3378
Pr2 0.8311 0.3311 0.6622

---

Record 4
## CsZn2Ga (PBE-GGA)

Data for crystalline CsZn2Ga at its relaxed geometry.

Properties
V = 117.36 Å³/f.u.
calculated formation energy = -0.09 eV per formula unit
total energy = -1.630 eV/atom

abc: 4.4619 4.4619 7.2778
angles: 72.15 72.15 60.00
Fractional coordinates of all 4 atoms:
Zn1 0.6881 0.6881 0.9358
Zn2 0.3119 0.3119 0.0642
Cs1 0.5000 0.5000 0.5000
Ga1 0.0000 0.0000 0.0000

---

Record 5
## ZrTa2Ru3 (PBE-GGA)

Data for crystalline ZrTa2Ru3 at its relaxed geometry.

Properties
V = 99.75 Å³/f.u.
calculated formation energy = -2.61 eV per formula unit
total energy = -10.448 eV/atom

abc: 3.1225 3.1225 10.2307
angles: 90.00 90.00 90.00
Fractional coordinates of all 6 atoms:
Ta1 0.5000 0.5000 0.1636
Ta2 0.5000 0.5000 0.8364
Ru1 0.0000 0.0000 0.6880
Ru2 0.0000 0.0000 0.0000
Ru3 0.0000 0.0000 0.3120
Zr1 0.5000 0.5000 0.5000

---

Record 6
## Pr6CoNi2Cl3 (PBE-GGA)

Data for crystalline Pr6CoNi2Cl3 at its relaxed geometry.

Properties
V = 322.05 Å³/f.u.
energy relative to the elements, uncorrected = -0.879 eV/atom
total energy = -5.286 eV/atom

abc: 7.0229 7.0229 7.8967
angles: 98.51 98.51 120.03
Fractional coordinates of all 12 atoms:
Pr1 0.7410 0.7410 0.2018
Pr2 0.9324 0.6064 0.7976
Pr3 0.0676 0.3936 0.2024
Pr4 0.3936 0.0676 0.2024
Pr5 0.6064 0.9324 0.7976
Pr6 0.2590 0.2590 0.7982
Ni1 0.6671 0.3329 0.0000
Ni2 0.3329 0.6671 0.0000
Cl1 0.1644 0.8356 0.5000
Cl2 0.8356 0.1644 0.5000
Cl3 0.5000 0.5000 0.5000
Co1 0.0000 0.0000 0.0000

---

Record 7
## Be2SbPt (PBE-GGA)

Data for crystalline Be2SbPt at its relaxed geometry.

Properties
V = 62.58 Å³/f.u.
energy relative to the elements, uncorrected = -0.133 eV/atom
total energy = -4.536 eV/atom

abc: 2.8954 2.9842 7.2426
angles: 90.00 90.00 90.00
Fractional coordinates of all 4 atoms:
Pt1 0.5000 0.2500 0.2500
Sb1 0.5000 0.7500 0.7500
Be1 0.0000 0.7501 0.0803
Be2 0.0000 0.7499 0.4197

---

Record 8
## LaAsS2Cl (PBE-GGA)

Data for crystalline LaAsS2Cl at its relaxed geometry.

Properties
V = 118.09 Å³/f.u.
polymorph energy (0 for the lowest one) = 0.0 kJ/mol of formula units
energy relative to the elements, uncorrected = -0.769 eV/atom
total energy = -4.704 eV/atom

abc: 4.9644 4.9644 4.7916
angles: 90.00 90.00 90.00
Fractional coordinates of all 5 atoms:
As1 0.0000 0.0000 0.0000
La1 0.5000 0.5000 0.5000
S1 0.5000 0.0000 0.0000
S2 0.0000 0.5000 0.0000
Cl1 0.0000 0.0000 0.5000